Entry 1:
This record from Alexandria via LeMat-Bulk describes Li2ZrSi at its PBEsol-relaxed geometry. The functional is meta-GGA SCAN.

Properties
Total energy   -46.68 eV/cell
Space-group type   No. 123

abc: 3.8064 3.8064 4.6344
angles: 90.00 90.00 90.00
Closest atoms and distances in Å follow each position.
Fractional positions:
1 Li 0.0000 0.5000 0.0000  4 Li 2.69, 4 Si 3.00, 4 Zr 3.00
2 Li 0.5000 0.0000 0.0000  4 Li 2.69, 4 Si 3.00, 4 Zr 3.00
3 Si 0.5000 0.5000 0.5000  4 Zr 2.69, 8 Li 3.00
4 Zr 0.0000 0.0000 0.5000  4 Si 2.69, 8 Li 3.00

---

Entry 2:
This record from Alexandria via LeMat-Bulk describes Li2ZrSi at its PBEsol-relaxed geometry. The functional is meta-GGA SCAN.

Properties
Total energy   -46.09 eV/cell
Space-group type   No. 71

abc: 3.7546 3.8207 5.5614
angles: 110.09 109.73 90.00
Closest atoms and distances in Å follow each position.
Fractional positions:
1 Li 0.2526 0.2526 0.5052  4 Li 2.68
2 Li 0.7474 0.7474 0.4948  4 Li 2.68
3 Zr 0.5000 0.0000 0.0000  4 Si 2.68
4 Si 0.0000 0.5000 0.0000  4 Zr 2.68